{"formula": "Sc2BeInB", "functional": "PBE", "state": "optimized geometry", "cell": [[4.608, 0.000, 0.000], [0.000, 4.608, 0.000], [0.000, 0.000, 4.401]], "species": ["Sc", "Sc", "Be", "In", "B"], "frac_coords": [[0.000, 0.500, 0.000], [0.500, 0.000, 0.000], [0.000, 0.000, 0.500], [0.500, 0.500, 0.500], [0.500, 0.500, 0.000]], "delta_e_f_ev_per_atom": 0.1571, "dos_ef_per_ev_atom": 0.714, "polymorph_energy_mev_per_atom": 349, "space_group": "P4/mmm, No. 123"}

{"formula": "Sc2BeInB", "functional": "PBE", "state": "optimized geometry", "cell": [[4.793, 0.000, 0.000], [0.000, 4.793, 0.000], [0.000, 0.000, 3.751]], "species": ["Sc", "Sc", "Be", "In", "B"], "frac_coords": [[0.000, 0.500, 0.000], [0.500, 0.000, 0.000], [0.000, 0.000, 0.500], [0.500, 0.500, 0.500], [0.000, 0.000, 0.000]], "delta_e_f_ev_per_atom": -0.1923, "dos_ef_per_ev_atom": 0.914, "polymorph_energy_mev_per_atom": 0, "space_group": "P4/mmm, No. 123"}

{"formula": "Be3BIr", "functional": "PBE", "state": "optimized geometry", "cell": [[3.622, 0.000, 0.000], [0.000, 3.622, 0.000], [0.000, 0.000, 3.622]], "species": ["Be", "Be", "Be", "B", "Ir"], "frac_coords": [[0.000, 0.000, 0.500], [0.000, 0.500, 0.000], [0.500, 0.000, 0.000], [0.000, 0.000, 0.000], [0.500, 0.500, 0.500]], "delta_e_f_ev_per_atom": 0.2543, "dos_ef_per_ev_atom": 0.333, "polymorph_energy_mev_per_atom": 0, "space_group": "Pm-3m, No. 221"}

{"formula": "Be3BIr", "functional": "PBE", "state": "optimized geometry", "cell": [[4.200, 0.000, 0.000], [0.000, 4.200, 0.000], [0.000, 0.000, 4.200]], "species": ["Be", "Be", "Be", "B", "Ir"], "frac_coords": [[0.000, 0.000, 0.500], [0.000, 0.500, 0.000], [0.500, 0.000, 0.000], [0.500, 0.500, 0.500], [0.000, 0.000, 0.000]], "delta_e_f_ev_per_atom": 1.1617, "dos_ef_per_ev_atom": 0.291, "polymorph_energy_mev_per_atom": 907, "space_group": "Pm-3m, No. 221"}

{"formula": "BeB3Ir", "functional": "PBE", "state": "optimized geometry", "cell": [[3.566, 0.000, 0.000], [0.000, 3.566, 0.000], [0.000, 0.000, 3.566]], "species": ["Be", "B", "B", "B", "Ir"], "frac_coords": [[0.000, 0.000, 0.000], [0.000, 0.000, 0.500], [0.000, 0.500, 0.000], [0.500, 0.000, 0.000], [0.500, 0.500, 0.500]], "delta_e_f_ev_per_atom": 1.4662, "dos_ef_per_ev_atom": 0.343, "polymorph_energy_mev_per_atom": 164, "space_group": "Pm-3m, No. 221"}

{"formula": "Be2BIr5", "functional": "PBE", "state": "optimized geometry", "cell": [[6.111, 0.000, 0.000], [0.000, 8.705, 0.000], [0.000, 0.000, 3.626]], "species": ["Be", "Be", "Be", "Be", "B", "B", "Ir", "Ir", "Ir", "Ir", "Ir", "Ir", "Ir", "Ir", "Ir", "Ir"], "frac_coords": [[0.069, 0.166, 0.000], [0.431, 0.666, 0.000], [0.569, 0.334, 0.000], [0.931, 0.834, 0.000], [0.000, 0.500, 0.500], [0.500, 0.000, 0.500], [0.000, 0.000, 0.500], [0.158, 0.706, 0.500], [0.187, 0.422, 0.000], [0.313, 0.922, 0.000], [0.342, 0.206, 0.500], [0.500, 0.500, 0.500], [0.658, 0.794, 0.500], [0.687, 0.078, 0.000], [0.813, 0.578, 0.000], [0.842, 0.294, 0.500]], "delta_e_f_ev_per_atom": -0.2623, "dos_ef_per_ev_atom": 0.599, "space_group": "Pbam, No. 55"}

{"formula": "Be5BIr6", "functional": "PBE", "state": "optimized geometry", "cell": [[3.419, -5.913, 0.000], [3.419, 5.913, 0.000], [-2.277, 0.000, 3.228]], "species": ["Be", "Be", "Be", "Be", "Be", "B", "Ir", "Ir", "Ir", "Ir", "Ir", "Ir"], "frac_coords": [[0.000, 0.000, 0.000], [0.166, 0.834, 0.500], [0.326, 0.674, 0.000], [0.674, 0.326, 0.000], [0.834, 0.166, 0.500], [0.500, 0.500, 0.500], [0.091, 0.417, 0.254], [0.258, 0.258, 0.757], [0.417, 0.091, 0.254], [0.583, 0.909, 0.746], [0.742, 0.742, 0.243], [0.909, 0.583, 0.746]], "delta_e_f_ev_per_atom": -0.4976, "dos_ef_per_ev_atom": 0.512, "space_group": "C2/m, No. 12"}

{"formula": "BeBIr3", "functional": "PBE", "state": "optimized geometry", "cell": [[4.047, 0.000, 0.000], [0.000, 4.047, 0.000], [0.000, 0.000, 4.047]], "species": ["Be", "B", "Ir", "Ir", "Ir"], "frac_coords": [[0.000, 0.000, 0.000], [0.500, 0.500, 0.500], [0.000, 0.500, 0.500], [0.500, 0.000, 0.500], [0.500, 0.500, 0.000]], "delta_e_f_ev_per_atom": 0.1190, "dos_ef_per_ev_atom": 0.343, "polymorph_energy_mev_per_atom": 0, "space_group": "Pm-3m, No. 221"}

{"formula": "BeB3Ir", "functional": "PBE", "state": "optimized geometry", "cell": [[4.120, 0.000, 0.000], [0.000, 4.120, 0.000], [0.000, 0.000, 4.120]], "species": ["Be", "B", "B", "B", "Ir"], "frac_coords": [[0.000, 0.000, 0.000], [0.000, 0.500, 0.500], [0.500, 0.000, 0.500], [0.500, 0.500, 0.000], [0.500, 0.500, 0.500]], "delta_e_f_ev_per_atom": 1.3024, "dos_ef_per_ev_atom": 0.493, "polymorph_energy_mev_per_atom": 0, "space_group": "Pm-3m, No. 221"}

{"formula": "Be3BIr4", "functional": "PBE", "state": "optimized geometry", "cell": [[-1.966, 1.966, 5.584], [1.966, -1.966, 5.584], [1.966, 1.966, -5.584]], "species": ["Be", "Be", "Be", "B", "Ir", "Ir", "Ir", "Ir"], "frac_coords": [[0.000, 0.000, 0.000], [0.247, 0.247, 0.000], [0.753, 0.753, 0.000], [0.500, 0.500, 0.000], [0.122, 0.622, 0.500], [0.378, 0.878, 0.500], [0.622, 0.122, 0.500], [0.878, 0.378, 0.500]], "delta_e_f_ev_per_atom": -0.4488, "dos_ef_per_ev_atom": 0.480, "space_group": "I4/mmm, No. 139"}

{"formula": "Mn2BeB2Ir5", "functional": "PBE", "state": "optimized geometry", "cell": [[9.178, 0.000, 0.000], [0.000, 9.178, 0.000], [0.000, 0.000, 2.883]], "species": ["Mn", "Mn", "Mn", "Mn", "Be", "Be", "B", "B", "B", "B", "Ir", "Ir", "Ir", "Ir", "Ir", "Ir", "Ir", "Ir", "Ir", "Ir"], "frac_coords": [[0.177, 0.323, 0.000], [0.323, 0.823, 0.000], [0.677, 0.177, 0.000], [0.823, 0.677, 0.000], [0.000, 0.000, 0.000], [0.500, 0.500, 0.000], [0.131, 0.631, 0.000], [0.369, 0.131, 0.000], [0.631, 0.869, 0.000], [0.869, 0.369, 0.000], [0.000, 0.500, 0.500], [0.069, 0.796, 0.500], [0.204, 0.069, 0.500], [0.296, 0.569, 0.500], [0.431, 0.296, 0.500], [0.500, 0.000, 0.500], [0.569, 0.704, 0.500], [0.704, 0.431, 0.500], [0.796, 0.931, 0.500], [0.931, 0.204, 0.500]], "delta_e_f_ev_per_atom": -0.3470, "dos_ef_per_ev_atom": 0.474, "space_group": "P4/mbm, No. 127"}

{"formula": "BeBIrO2", "functional": "PBE", "state": "optimized geometry", "cell": [[3.755, 0.000, 0.000], [0.000, 3.755, 0.000], [0.000, 0.000, 4.465]], "species": ["Be", "B", "Ir", "O", "O"], "frac_coords": [[0.000, 0.000, 0.000], [0.500, 0.500, 0.000], [0.500, 0.500, 0.500], [0.000, 0.500, 0.500], [0.500, 0.000, 0.500]], "dos_ef_per_ev_atom": 1.199, "e_form_raw_kcal_per_mol_atoms": 15.1, "space_group": "P4/mmm, No. 123"}